Entry 1:
CdHgMoAu2 | GGA-PBE | optimized geometry

Results
For the formation energy, the calculation gives 0.98 eV/atom. The space group is P4/mmm.

```
CdHgMoAu2
1.0
5.0397 0.0000 0.0000
0.0000 5.5118 0.0000
0.0000 0.0000 5.0397
Au Mo Cd Hg
2 1 1 1
Direct
0.0000 0.0000 0.5000
0.5000 0.0000 0.0000
0.0000 0.0000 0.0000
0.0000 0.5000 0.0000
0.5000 0.5000 0.5000
```

=====

Entry 2:
Na3Cd3HgAu2 | GGA-PBE | optimized geometry

Results
For the formation energy, the calculation gives -0.17 eV/atom. The space group is P-62m.

```
Na3Cd3HgAu2
1.0
-2.6229 -1.4606 -0.2447
1.8716 -1.9869 -8.2006
2.3682 -5.3225 6.3847
Hg Au Na Cd
1 2 3 3
Direct
0.0000 0.0000 0.0000
0.5000 0.6667 0.3333
0.5000 0.3333 0.6667
0.5000 0.3102 0.3102
0.5000 0.0000 0.6898
0.5000 0.6898 0.0000
0.0000 0.0000 0.3661
0.0000 0.3661 0.0000
0.0000 0.6339 0.6339
```

=====

Entry 3:
NaCd2HgAu | GGA-PBE | optimized geometry

Results
For the formation energy, the calculation gives -0.02 eV/atom. The space group is P4/mmm.

```
NaCd2HgAu
1.0
-3.1241 -2.9873 3.1252
3.9684 -3.5115 0.6104
1.7306 2.7062 4.3169
Cd Na Hg Au
2 1 1 1
Direct
0.5000 0.0000 0.0000
0.0000 0.5000 0.0000
0.5000 0.5000 0.5000
0.0000 0.0000 0.5000
0.0000 0.0000 0.0000
```

=====

Entry 4:
NaCdHgAu2 | GGA-PBE | optimized geometry

Results
For the formation energy, the calculation gives -0.19 eV/atom. The space group is Imm2.

```
NaCdHgAu2
1.0
4.1924 0.0000 0.0000
0.0000 4.0636 0.0000
-2.0962 -2.0318 6.9141
Cd Hg Au Na
1 1 2 1
Direct
0.1840 0.6840 0.3680
0.8402 0.8402 0.6805
0.0384 0.0384 0.0768
0.6823 0.1823 0.3647
0.4672 0.4672 0.9343
```

=====

Entry 5:
NaCd2HgAu | GGA-PBE | optimized geometry

Results
For the formation energy, the calculation gives -0.05 eV/atom. The space group is P4/mmm.

```
NaCd2HgAu
1.0
5.3523 0.0000 0.0000
0.0000 5.3523 0.0000
0.0000 0.0000 5.5526
Cd Au Na Hg
2 1 1 1
Direct
0.5000 0.0000 0.0000
0.0000 0.5000 0.0000
0.0000 0.0000 0.0000
0.0000 0.0000 0.5000
0.5000 0.5000 0.5000
```

=====

Entry 6:
NaCdHg2Au | GGA-PBE | optimized geometry

Results
For the formation energy, the calculation gives -0.02 eV/atom. The space group is P4/mmm.

```
NaCdHg2Au
1.0
5.4083 0.0000 0.0000
0.0000 5.4083 0.0000
0.0000 0.0000 5.3375
Hg Na Cd Au
2 1 1 1
Direct
0.0000 0.5000 0.0000
0.5000 0.0000 0.0000
0.5000 0.5000 0.5000
0.0000 0.0000 0.5000
0.0000 0.0000 0.0000
```

=====

| no. | uncorrected energy (eV/atom) | magnetic moment (μB per atom) |
| --- | --- | --- |
| 1 | -2.7450 | 0.00 |
| 2 | -1.6770 | 0.00 |
| 3 | -1.3692 | 0.00 |
| 4 | -2.0080 | 0.00 |
| 5 | -1.3935 | 0.00 |
| 6 | -1.2443 | 0.00 |